Material: Y6RuSe5
Method: DFT, PBE
State: relaxed

Output
formation energy (no corrections)	-1.54	eV/atom
total magnetization	0.0	μB/cell
total DFT energy (no corrections)	-6.99	eV per atom

Cell: 7.153 7.153 7.117 Å, 99.60 99.60 119.97°
Fractional positions:
Y: 0.389 0.077 0.234
Y: 0.923 0.611 0.766
Y: 0.230 0.230 0.762
Y: 0.770 0.770 0.238
Y: 0.077 0.389 0.234
Y: 0.611 0.923 0.766
Ru: 0.000 0.000 0.000
Se: 0.824 0.176 0.500
Se: 0.665 0.335 0.000
Se: 0.500 0.500 0.500
Se: 0.335 0.665 0.000
Se: 0.176 0.824 0.500